{"formula": "Sc4ZnGaRu2", "functional": "GGA-PBE", "state": "relaxed", "cell": [[2.3132, 1.3355, 7.5843], [-2.3132, 1.3355, 7.5843], [0.0000, -2.6711, 7.5843]], "species": ["Sc", "Sc", "Sc", "Sc", "Zn", "Ga", "Ru", "Ru"], "fractional_positions": [[0.1239, 0.1239, 0.1239], [0.3743, 0.3743, 0.3743], [0.6257, 0.6257, 0.6257], [0.8761, 0.8761, 0.8761], [0.0000, 0.0000, 0.0000], [0.5000, 0.5000, 0.5000], [0.2495, 0.2495, 0.2495], [0.7505, 0.7505, 0.7505]], "formation_energy_mev_per_atom": -543, "final_energy_ev_per_atom": -6.57, "space_group": "R-3m"}


{"formula": "ZrScGaRu", "functional": "GGA-PBE", "state": "relaxed", "cell": [[3.2827, 0.0000, 0.0000], [0.0000, 3.2827, 0.0000], [0.0000, 0.0000, 6.7097]], "species": ["Zr", "Sc", "Ga", "Ru"], "fractional_positions": [[0.0000, 0.0000, 0.0000], [0.0000, 0.0000, 0.5274], [0.5000, 0.5000, 0.2688], [0.5000, 0.5000, 0.7609]], "formation_energy_mev_per_atom": -616, "final_energy_ev_per_atom": -7.41, "space_group": "P4mm"}


{"formula": "SrGa2RuSe", "functional": "GGA-PBE", "state": "relaxed", "cell": [[4.7302, 0.0000, 0.0000], [0.0000, 4.7302, 0.0000], [0.0000, 0.0000, 5.8601]], "species": ["Sr", "Ga", "Ga", "Ru", "Se"], "fractional_positions": [[0.0000, 0.0000, 0.0000], [0.0000, 0.5000, 0.5000], [0.5000, 0.0000, 0.5000], [0.0000, 0.0000, 0.5000], [0.5000, 0.5000, 0.0000]], "final_energy_ev_per_atom": -4.39, "space_group": "P4/mmm", "raw_formation_energy_ev_per_atom": -0.29}


{"formula": "YGaRu2Se", "functional": "GGA-PBE", "state": "relaxed", "cell": [[4.5485, 0.0000, 0.0000], [0.0000, 4.5485, 0.0000], [0.0000, 0.0000, 5.4331]], "species": ["Y", "Ga", "Ru", "Ru", "Se"], "fractional_positions": [[0.0000, 0.0000, 0.0000], [0.0000, 0.0000, 0.5000], [0.0000, 0.5000, 0.5000], [0.5000, 0.0000, 0.5000], [0.5000, 0.5000, 0.0000]], "final_energy_ev_per_atom": -5.76, "space_group": "P4/mmm", "raw_formation_energy_ev_per_atom": 0.54}


{"formula": "GaSi4Ru5", "functional": "GGA-PBE", "state": "relaxed", "cell": [[2.9480, 0.0000, 0.0000], [0.0000, 2.9480, 0.0000], [0.0000, 0.0000, 14.8541]], "species": ["Ga", "Si", "Si", "Si", "Si", "Ru", "Ru", "Ru", "Ru", "Ru"], "fractional_positions": [[0.0000, 0.0000, 0.0000], [0.0000, 0.0000, 0.2001], [0.0000, 0.0000, 0.4002], [0.0000, 0.0000, 0.5998], [0.0000, 0.0000, 0.7999], [0.5000, 0.5000, 0.1095], [0.5000, 0.5000, 0.3043], [0.5000, 0.5000, 0.5000], [0.5000, 0.5000, 0.6957], [0.5000, 0.5000, 0.8905]], "final_energy_ev_per_atom": -7.72, "space_group": "P4/mmm", "raw_formation_energy_ev_per_atom": -0.61}


{"formula": "Ga3SiRu", "functional": "GGA-PBE", "state": "relaxed", "cell": [[4.8375, 0.0000, 0.0000], [0.0000, 4.8375, 0.0000], [0.0000, 0.0000, 4.8375]], "species": ["Ga", "Ga", "Ga", "Si", "Ru"], "fractional_positions": [[0.0000, 0.0000, 0.5000], [0.0000, 0.5000, 0.0000], [0.5000, 0.0000, 0.0000], [0.5000, 0.5000, 0.5000], [0.0000, 0.0000, 0.0000]], "final_energy_ev_per_atom": -4.34, "space_group": "Pm-3m", "raw_formation_energy_ev_per_atom": 0.42}


{"formula": "GaSi2Ru", "functional": "GGA-PBE", "state": "relaxed", "cell": [[5.7639, 0.0000, 0.0000], [0.0000, 5.7639, 0.0000], [0.0000, 0.0000, 10.1434]], "species": ["Ga", "Ga", "Ga", "Ga", "Si", "Si", "Si", "Si", "Si", "Si", "Si", "Si", "Ru", "Ru", "Ru", "Ru"], "fractional_positions": [[0.0000, 0.0000, 0.0000], [0.0000, 0.5000, 0.2500], [0.5000, 0.0000, 0.7500], [0.5000, 0.5000, 0.5000], [0.2188, 0.2500, 0.6250], [0.2500, 0.7188, 0.8750], [0.2500, 0.7812, 0.3750], [0.2812, 0.2500, 0.1250], [0.7188, 0.7500, 0.1250], [0.7500, 0.2188, 0.3750], [0.7500, 0.2812, 0.8750], [0.7812, 0.7500, 0.6250], [0.0000, 0.0000, 0.5000], [0.0000, 0.5000, 0.7500], [0.5000, 0.0000, 0.2500], [0.5000, 0.5000, 0.0000]], "final_energy_ev_per_atom": -5.47, "space_group": "I-42d", "raw_formation_energy_ev_per_atom": 0.32}


{"formula": "Ga2SiRu", "functional": "GGA-PBE", "state": "relaxed", "cell": [[9.3957, 0.0000, 0.0000], [0.0000, 9.3957, 0.0000], [0.0000, 0.0000, 4.5292]], "species": ["Ga", "Ga", "Ga", "Ga", "Ga", "Ga", "Ga", "Ga", "Si", "Si", "Si", "Si", "Ru", "Ru", "Ru", "Ru"], "fractional_positions": [[0.0000, 0.0000, 0.0000], [0.0000, 0.5000, 0.0000], [0.2500, 0.2500, 0.7500], [0.2500, 0.7500, 0.2500], [0.5000, 0.0000, 0.5000], [0.5000, 0.5000, 0.5000], [0.7500, 0.2500, 0.7500], [0.7500, 0.7500, 0.2500], [0.0000, 0.2500, 0.3750], [0.0000, 0.7500, 0.6250], [0.5000, 0.2500, 0.1250], [0.5000, 0.7500, 0.8750], [0.0000, 0.2500, 0.8750], [0.0000, 0.7500, 0.1250], [0.5000, 0.2500, 0.6250], [0.5000, 0.7500, 0.3750]], "final_energy_ev_per_atom": -5.28, "space_group": "I4_1/amd", "raw_formation_energy_ev_per_atom": -0.09}


{"formula": "GaSiRu3", "functional": "GGA-PBE", "state": "relaxed", "cell": [[4.4483, 0.0000, 0.0000], [0.0000, 4.4483, 0.0000], [0.0000, 0.0000, 4.4483]], "species": ["Ga", "Si", "Ru", "Ru", "Ru"], "fractional_positions": [[0.0000, 0.0000, 0.0000], [0.5000, 0.5000, 0.5000], [0.0000, 0.0000, 0.5000], [0.0000, 0.5000, 0.0000], [0.5000, 0.0000, 0.0000]], "final_energy_ev_per_atom": -5.92, "space_group": "Pm-3m", "raw_formation_energy_ev_per_atom": 1.34}


{"formula": "Ga3SiRu", "functional": "GGA-PBE", "state": "relaxed", "cell": [[4.6942, 0.0000, 0.0000], [0.0000, 4.6942, 0.0000], [0.0000, 0.0000, 4.6942]], "species": ["Ga", "Ga", "Ga", "Si", "Ru"], "fractional_positions": [[0.0000, 0.0000, 0.5000], [0.0000, 0.5000, 0.0000], [0.5000, 0.0000, 0.0000], [0.0000, 0.0000, 0.0000], [0.5000, 0.5000, 0.5000]], "final_energy_ev_per_atom": -3.77, "space_group": "Pm-3m", "raw_formation_energy_ev_per_atom": 0.98}


{"formula": "GaSiRu3", "functional": "GGA-PBE", "state": "relaxed", "cell": [[4.3840, 0.0000, 0.0000], [0.0000, 4.3840, 0.0000], [0.0000, 0.0000, 4.3840]], "species": ["Ga", "Si", "Ru", "Ru", "Ru"], "fractional_positions": [[0.0000, 0.0000, 0.0000], [0.5000, 0.5000, 0.5000], [0.0000, 0.5000, 0.5000], [0.5000, 0.0000, 0.5000], [0.5000, 0.5000, 0.0000]], "final_energy_ev_per_atom": -6.72, "space_group": "Pm-3m", "raw_formation_energy_ev_per_atom": 0.54}


{"formula": "GaSi2Ru2", "functional": "GGA-PBE", "state": "relaxed", "cell": [[3.6825, 0.0000, 0.0000], [0.0000, 3.6825, 0.0000], [0.0000, 0.0000, 5.6324]], "species": ["Ga", "Si", "Si", "Ru", "Ru"], "fractional_positions": [[0.0000, 0.0000, 0.0000], [0.0000, 0.5000, 0.5000], [0.5000, 0.0000, 0.5000], [0.5000, 0.5000, 0.2360], [0.5000, 0.5000, 0.7640]], "final_energy_ev_per_atom": -6.65, "space_group": "P4/mmm", "raw_formation_energy_ev_per_atom": -0.16}


{"formula": "GaSi2Ru2", "functional": "GGA-PBE", "state": "relaxed", "cell": [[7.0491, 0.0000, 0.0000], [0.0000, 7.0491, 0.0000], [0.0000, 0.0000, 2.8404]], "species": ["Ga", "Ga", "Si", "Si", "Si", "Si", "Ru", "Ru", "Ru", "Ru"], "fractional_positions": [[0.0000, 0.0000, 0.0000], [0.5000, 0.5000, 0.0000], [0.1364, 0.3636, 0.0000], [0.3636, 0.8636, 0.0000], [0.6364, 0.1364, 0.0000], [0.8636, 0.6364, 0.0000], [0.1559, 0.6559, 0.5000], [0.3441, 0.1559, 0.5000], [0.6559, 0.8441, 0.5000], [0.8441, 0.3441, 0.5000]], "final_energy_ev_per_atom": -6.75, "space_group": "P4/mbm", "raw_formation_energy_ev_per_atom": -0.26}


{"formula": "Ga2Si2Ru", "functional": "GGA-PBE", "state": "relaxed", "cell": [[6.2363, 0.0000, 0.0000], [0.0000, 6.2363, 0.0000], [0.0000, 0.0000, 4.0581]], "species": ["Ga", "Ga", "Ga", "Ga", "Si", "Si", "Si", "Si", "Ru", "Ru"], "fractional_positions": [[0.1796, 0.3204, 0.0000], [0.3204, 0.8204, 0.0000], [0.6796, 0.1796, 0.0000], [0.8204, 0.6796, 0.0000], [0.1350, 0.6350, 0.5000], [0.3650, 0.1350, 0.5000], [0.6350, 0.8650, 0.5000], [0.8650, 0.3650, 0.5000], [0.0000, 0.0000, 0.5000], [0.5000, 0.5000, 0.5000]], "final_energy_ev_per_atom": -5.18, "space_group": "P4/mbm", "raw_formation_energy_ev_per_atom": 0.06}


{"formula": "Ga5SiRu6", "functional": "GGA-PBE", "state": "relaxed", "cell": [[2.1268, -6.3995, 0.0000], [2.1268, 6.3995, 0.0000], [0.0000, 0.0000, 6.0366]], "species": ["Ga", "Ga", "Ga", "Ga", "Ga", "Si", "Ru", "Ru", "Ru", "Ru", "Ru", "Ru"], "fractional_positions": [[0.0000, 0.0000, 0.0000], [0.3292, 0.6708, 0.5000], [0.3331, 0.6669, 0.0000], [0.6669, 0.3331, 0.0000], [0.6708, 0.3292, 0.5000], [0.0000, 0.0000, 0.5000], [0.1615, 0.8385, 0.2527], [0.1615, 0.8385, 0.7473], [0.5000, 0.5000, 0.2629], [0.5000, 0.5000, 0.7371], [0.8385, 0.1615, 0.2527], [0.8385, 0.1615, 0.7473]], "final_energy_ev_per_atom": -6.72, "space_group": "Cmmm", "raw_formation_energy_ev_per_atom": -0.37}


{"formula": "GaSi2Ru2", "functional": "GGA-PBE", "state": "relaxed", "cell": [[6.9556, 0.0000, 0.0000], [0.0000, 6.9556, 0.0000], [0.0000, 0.0000, 2.9257]], "species": ["Ga", "Ga", "Si", "Si", "Si", "Si", "Ru", "Ru", "Ru", "Ru"], "fractional_positions": [[0.0000, 0.0000, 0.0000], [0.5000, 0.5000, 0.0000], [0.1405, 0.3595, 0.5000], [0.3595, 0.8595, 0.5000], [0.6405, 0.1405, 0.5000], [0.8595, 0.6405, 0.5000], [0.1540, 0.6540, 0.0000], [0.3460, 0.1540, 0.0000], [0.6540, 0.8460, 0.0000], [0.8460, 0.3460, 0.0000]], "final_energy_ev_per_atom": -6.86, "space_group": "P4/mbm", "raw_formation_energy_ev_per_atom": -0.37}


{"formula": "GaSi2Ru2", "functional": "GGA-PBE", "state": "relaxed", "cell": [[3.4930, 0.0000, 0.0000], [0.0000, 3.4930, 0.0000], [0.0000, 0.0000, 12.0869]], "species": ["Ga", "Ga", "Si", "Si", "Si", "Si", "Ru", "Ru", "Ru", "Ru"], "fractional_positions": [[0.0000, 0.0000, 0.0000], [0.5000, 0.5000, 0.5000], [0.0000, 0.5000, 0.2500], [0.0000, 0.5000, 0.7500], [0.5000, 0.0000, 0.2500], [0.5000, 0.0000, 0.7500], [0.0000, 0.0000, 0.3858], [0.0000, 0.0000, 0.6142], [0.5000, 0.5000, 0.1142], [0.5000, 0.5000, 0.8858]], "final_energy_ev_per_atom": -6.90, "space_group": "I4/mmm", "raw_formation_energy_ev_per_atom": -0.42}


{"formula": "SmGa2SiRu2", "functional": "GGA-PBE", "state": "relaxed", "cell": [[4.4310, 0.0000, 0.0000], [0.0000, 4.4310, 0.0000], [0.0000, 0.0000, 5.6811]], "species": ["Sm", "Ga", "Ga", "Si", "Ru", "Ru"], "fractional_positions": [[0.0000, 0.0000, 0.0000], [0.5000, 0.5000, 0.2296], [0.5000, 0.5000, 0.7704], [0.0000, 0.0000, 0.5000], [0.0000, 0.5000, 0.5000], [0.5000, 0.0000, 0.5000]], "final_energy_ev_per_atom": -6.20, "space_group": "P4/mmm", "raw_formation_energy_ev_per_atom": -0.41}


{"formula": "Tb3Ga2SiRu3", "functional": "GGA-PBE", "state": "relaxed", "cell": [[7.3933, 0.0000, 0.0000], [-3.6966, 6.4028, 0.0000], [0.0000, 0.0000, 3.5274]], "species": ["Tb", "Tb", "Tb", "Ga", "Ga", "Si", "Ru", "Ru", "Ru"], "fractional_positions": [[0.0000, 0.3864, 0.0000], [0.3864, 0.0000, 0.0000], [0.6136, 0.6136, 0.0000], [0.3333, 0.6667, 0.5000], [0.6667, 0.3333, 0.5000], [0.0000, 0.0000, 0.0000], [0.0000, 0.7615, 0.5000], [0.2385, 0.2385, 0.5000], [0.7615, 0.0000, 0.5000]], "final_energy_ev_per_atom": -6.53, "space_group": "P-62m", "raw_formation_energy_ev_per_atom": -0.62}


{"formula": "GaSiTcRu", "functional": "GGA-PBE", "state": "relaxed", "cell": [[6.0037, 0.0000, 0.0000], [0.0000, 6.0037, 0.0000], [0.0000, 0.0000, 6.0037]], "species": ["Ga", "Ga", "Ga", "Ga", "Si", "Si", "Si", "Si", "Tc", "Tc", "Tc", "Tc", "Ru", "Ru", "Ru", "Ru"], "fractional_positions": [[0.0000, 0.0000, 0.0000], [0.0000, 0.5000, 0.5000], [0.5000, 0.0000, 0.5000], [0.5000, 0.5000, 0.0000], [0.0000, 0.0000, 0.5000], [0.0000, 0.5000, 0.0000], [0.5000, 0.0000, 0.0000], [0.5000, 0.5000, 0.5000], [0.2500, 0.2500, 0.2500], [0.2500, 0.7500, 0.7500], [0.7500, 0.2500, 0.7500], [0.7500, 0.7500, 0.2500], [0.2500, 0.2500, 0.7500], [0.2500, 0.7500, 0.2500], [0.7500, 0.2500, 0.2500], [0.7500, 0.7500, 0.7500]], "final_energy_ev_per_atom": -7.35, "space_group": "F-43m", "raw_formation_energy_ev_per_atom": -0.33}